Li2TmAl2Au2: optimized geometry, GGA-PBE.

Properties
Crystal system   monoclinic
M_tot   0.00 μB/f.u.
ΔE_f   -0.598 eV/atom

```
Li2TmAl2Au2
1.0
7.838 0.000 0.000
0.000 4.522 0.000
-2.548 0.000 7.087
Li Tm Al Au
4 2 4 4
Direct
0.142 0.000 0.429 Li
0.358 0.500 0.571 Li
0.642 0.500 0.429 Li
0.858 0.000 0.571 Li
0.000 0.000 0.000 Tm
0.500 0.500 0.000 Tm
0.077 0.500 0.729 Al
0.423 0.000 0.271 Al
0.577 0.000 0.729 Al
0.923 0.500 0.271 Al
0.237 0.500 0.212 Au
0.263 0.000 0.788 Au
0.737 0.000 0.212 Au
0.763 0.500 0.788 Au
```